Entry from Alexandria: Co5Se4Cl2O12 after structural relaxation (PBE+U).

Output
- E_tot (eV per atom) = -5.393
- magnetic moment (μB per formula unit) = 15.1

Unit cell a=6.5852 b=7.8766 c=8.0047 alpha=65.90 beta=72.27 gamma=81.19
With the nearest neighbours (Å) after each atom.
Positions (direct):
Se (0.3474, 0.3090, 0.6750)  3 O 1.73-1.75
Se (0.7848, 0.8412, 0.7778)  3 O 1.73-1.75
Se (0.6526, 0.6910, 0.3250)  3 O 1.73-1.75
Se (0.2152, 0.1588, 0.2222)  3 O 1.73-1.75
O (0.6390, 0.9034, 0.6140)  1 Se 1.73
O (0.8319, 0.5858, 0.4642)  1 Se 1.75
O (0.7381, 0.9174, 0.2249)  1 Se 1.73
O (0.9659, 0.1948, 0.3625)  1 Se 1.74
O (0.3610, 0.0966, 0.3860)  1 Se 1.73
O (0.4165, 0.6972, 0.4951)  1 Se 1.74
O (0.0341, 0.8052, 0.6375)  1 Se 1.74
O (0.1681, 0.4142, 0.5358)  1 Se 1.75
O (0.5835, 0.3028, 0.5049)  1 Se 1.74
O (0.2619, 0.0826, 0.7751)  1 Se 1.73
O (0.8318, 0.0489, 0.7889)  1 Se 1.75
O (0.1682, 0.9511, 0.2111)  1 Se 1.75
Co (0.6811, 0.1273, 0.3437)  5 O 2.07-2.16
Co (0.1120, 0.6961, 0.4376)  5 O 2.01-2.19
Co (0.3189, 0.8727, 0.6563)  5 O 2.07-2.16
Co (0.8880, 0.3039, 0.5624)  5 O 2.01-2.19
Co (0.0000, 0.0000, 0.0000)  4 O 2.03-2.17
Cl (0.1741, 0.6897, 0.0032)  2 Co 2.50-2.53
Cl (0.8259, 0.3103, 0.9968)  2 Co 2.50-2.53